Record 1
! Li2Sc2Cd | Alexandria | GGA-PBE | optimized geometry; values from VASP
! SG: P4/mbm (127)
! Relative energy among the computed polymorphs in meV/atom: 0.0
&SYSTEM
  ibrav = 0, nat = 10, ntyp = 3
/
ATOMIC_SPECIES
Sc 44.96 Sc.upf
Cd 112.41 Cd.upf
Li 6.94 Li.upf
CELL_PARAMETERS angstrom
6.660 0.000 0.000
0.000 6.660 0.000
0.000 0.000 4.636
ATOMIC_POSITIONS crystal
Sc 0.318 0.182 0.500
Sc 0.818 0.318 0.500
Sc 0.182 0.682 0.500
Cd 0.000 0.000 0.000
Li 0.627 0.127 0.000
Li 0.127 0.373 0.000
Cd 0.500 0.500 0.000
Li 0.373 0.873 0.000
Sc 0.682 0.818 0.500
Li 0.873 0.627 0.000


Record 2
! Li2Sc2Cd | Alexandria | GGA-PBE | optimized geometry; values from VASP
! SG: I4/mmm (139)
! Relative energy among the computed polymorphs in meV/atom: 90.6
&SYSTEM
  ibrav = 0, nat = 5, ntyp = 3
/
ATOMIC_SPECIES
Cd 112.41 Cd.upf
Li 6.94 Li.upf
Sc 44.96 Sc.upf
CELL_PARAMETERS angstrom
-2.414 -2.208 -1.290
1.041 -2.470 2.277
-6.619 0.661 6.460
ATOMIC_POSITIONS crystal
Cd 0.000 0.000 0.000
Li 0.250 0.750 0.500
Li 0.750 0.250 0.500
Sc 0.402 0.402 0.197
Sc 0.598 0.598 0.803


Record 3
! LiSc2Cd | Alexandria | GGA-PBE | optimized geometry; values from VASP
! SG: P4/mmm (123)
&SYSTEM
  ibrav = 0, nat = 4, ntyp = 3
/
ATOMIC_SPECIES
Sc 44.96 Sc.upf
Li 6.94 Li.upf
Cd 112.41 Cd.upf
CELL_PARAMETERS angstrom
7.794 0.014 0.036
-3.071 3.801 -0.005
1.654 1.339 2.911
ATOMIC_POSITIONS crystal
Sc 0.500 0.000 0.500
Sc 0.000 0.000 0.000
Li 0.500 0.500 0.000
Cd 0.000 0.500 0.500


Record 4
! Li3Sc2Cd4 | Alexandria | GGA-PBE | optimized geometry; values from VASP
! SG: C2/m (12)
&SYSTEM
  ibrav = 0, nat = 9, ntyp = 3
/
ATOMIC_SPECIES
Li 6.94 Li.upf
Sc 44.96 Sc.upf
Cd 112.41 Cd.upf
CELL_PARAMETERS angstrom
-3.716 2.346 1.754
-0.488 0.270 4.989
5.131 6.943 1.583
ATOMIC_POSITIONS crystal
Li 0.356 0.287 0.434
Sc 0.693 0.614 0.229
Cd 0.037 0.927 0.346
Li 0.644 0.713 0.566
Cd 0.648 0.705 0.884
Cd 0.963 0.073 0.654
Sc 0.307 0.386 0.771
Cd 0.352 0.295 0.116
Li 0.000 0.000 0.000


| no. | DFT formation energy (eV/atom) |
| --- | --- |
| 1 | 0.06 |
| 2 | 0.15 |
| 3 | -0.09 |
| 4 | -0.19 |